Arrangement A

Rb2GaP2: relaxed, PBE.

Lattice parameters (Å, degrees): 7.179 7.179 5.538 90.00 90.00 90.00
Space group P4/mbm (No. 127)
Inequivalent atoms, fractional coordinates:
Rb 0.183 0.317 0.000 [4 per cell]
Ga 0.000 0.000 0.500 [2 per cell]
P 0.106 0.606 0.500 [4 per cell]

Arrangement B

Rb2GaP2: relaxed, PBE.

Lattice parameters (Å, degrees): 15.174 7.294 6.421 90.00 114.85 90.00
Space group C2/c (No. 15)
Inequivalent atoms, fractional coordinates:
Rb 0.147 0.167 0.146 [8 per cell]
Ga 0.000 0.500 0.250 [4 per cell]
P 0.095 0.328 0.594 [8 per cell]

Arrangement C

Rb2GaP2: relaxed, PBE.

Lattice parameters (Å, degrees): 14.803 6.878 9.192 90.00 123.84 90.00
Space group C2/m (No. 12)
Inequivalent atoms, fractional coordinates:
Rb 0.043 0.000 0.281 [4 per cell]
Rb 0.171 0.500 0.100 [4 per cell]
Ga 0.116 0.500 0.645 [4 per cell]
P 0.038 0.500 0.342 [4 per cell]
P 0.207 0.000 0.132 [4 per cell]

arrangement B has the most favorable energy; the next structure is 9.1 kJ/mol of atoms above.

Arrangement A

RbGaP: relaxed, PBE.

Lattice parameters (Å, degrees): 8.234 5.576 7.451 90.00 94.05 90.00
Space group P2_1/c (No. 14)
Inequivalent atoms, fractional coordinates:
Rb 0.155 0.037 0.231 [4 per cell]
Ga 0.466 0.703 0.071 [4 per cell]
P 0.332 0.538 0.338 [4 per cell]

Arrangement B

RbGaP: relaxed, PBE.

Lattice parameters (Å, degrees): 4.0282 4.0282 5.9776 90.00 90.00 120.00
Space group P3m1 (No. 156)
Inequivalent atoms, fractional coordinates:
Rb 0.0000 0.0000 0.0000 [1 per cell]
Ga 0.6667 0.3333 0.4489 [1 per cell]
P 0.3333 0.6667 0.5716 [1 per cell]

Arrangement C

RbGaP: relaxed, PBE.

Lattice parameters (Å, degrees): 3.930 17.637 5.133 90.00 90.00 90.00
Space group Cmcm (No. 63)
Inequivalent atoms, fractional coordinates:
Rb 0.000 0.176 0.250 [4 per cell]
Ga 0.000 0.040 0.750 [4 per cell]
P 0.000 0.386 0.250 [4 per cell]

Arrangement D

RbGaP: relaxed, PBE.

Lattice parameters (Å, degrees): 5.102 5.102 9.199 90.00 90.00 90.00
Space group I4mm (No. 107)
Inequivalent atoms, fractional coordinates:
Rb 0.000 0.000 0.000 [2 per cell]
Ga 0.000 0.000 0.378 [2 per cell]
P 0.000 0.000 0.616 [2 per cell]

arrangement A has the most favorable energy; the next structure is 8.0 kJ/mol of atoms above.